First-principles (PBE) data for La2AlCoSe after structural relaxation, as listed in the Alexandria database.

volume: 28.516 Å³ per atom
SG: P4/mmm (123)
raw formation energy: -0.320 eV per atom

a b c (Å): 5.748 5.748 4.316
angles (deg): 90.00 90.00 90.00
Sites, in units of the cell vectors:
1 La 0.000 0.500 0.000
2 La 0.500 0.000 0.000
3 Al 0.000 0.000 0.500
4 Co 0.500 0.500 0.500
5 Se 0.500 0.500 0.000